a | # Ca2MgBi GGA-PBEsol optimized geometry
# total magnetic moment: 0.000 μB/atom
data_Ca2MgBi
_cell_length_a 5.5235
_cell_length_b 5.5235
_cell_length_c 5.5235
_cell_angle_alpha 60.00
_cell_angle_beta 60.00
_cell_angle_gamma 60.00
_space_group_name_H-M_alt 'P 1'
_space_group_IT_number 1
_space_group_name_Hall 'P 1'
loop_
_atom_site_label
_atom_site_type_symbol
_atom_site_fract_x
_atom_site_fract_y
_atom_site_fract_z
Ca1 Ca 0.2500 0.2500 0.2500
Ca2 Ca 0.7500 0.7500 0.7500
Mg1 Mg 0.0000 0.0000 0.0000
Bi1 Bi 0.5000 0.5000 0.5000

***

b | # Ca2MgBi GGA-PBEsol optimized geometry
# total magnetic moment: 0.000 μB/atom
data_Ca2MgBi
_cell_length_a 11.6581
_cell_length_b 11.6581
_cell_length_c 11.6581
_cell_angle_alpha 155.74
_cell_angle_beta 155.74
_cell_angle_gamma 34.57
_space_group_name_H-M_alt 'P 1'
_space_group_IT_number 1
_space_group_name_Hall 'P 1'
loop_
_atom_site_label
_atom_site_type_symbol
_atom_site_fract_x
_atom_site_fract_y
_atom_site_fract_z
Ca1 Ca 0.1129 0.6250 0.9879
Ca2 Ca 0.3750 0.3629 0.4879
Ca3 Ca 0.6371 0.1250 0.0121
Ca4 Ca 0.8750 0.8871 0.5121
Mg1 Mg 0.2500 0.7500 0.5000
Mg2 Mg 0.5000 0.5000 0.0000
Bi1 Bi 0.0000 0.0000 0.0000
Bi2 Bi 0.7500 0.2500 0.5000

***

It comes down to a, which is 388 meV/atom more stable than the next structure.

***

a | # CaBi2O5 GGA-PBEsol optimized geometry
# total magnetic moment: 0.000 μB/atom
data_CaBi2O5
_cell_length_a 8.6110
_cell_length_b 8.6110
_cell_length_c 11.2082
_cell_angle_alpha 90.12
_cell_angle_beta 90.12
_cell_angle_gamma 83.42
_space_group_name_H-M_alt 'P 1'
_space_group_IT_number 1
_space_group_name_Hall 'P 1'
loop_
_atom_site_label
_atom_site_type_symbol
_atom_site_fract_x
_atom_site_fract_y
_atom_site_fract_z
Ca1 Ca 0.1779 0.8221 0.7500
Ca2 Ca 0.1960 0.4728 0.9294
Ca3 Ca 0.4728 0.1960 0.4294
Ca4 Ca 0.5272 0.8040 0.5706
Ca5 Ca 0.8040 0.5272 0.0706
Ca6 Ca 0.8221 0.1779 0.2500
Bi1 Bi 0.1383 0.8548 0.0578
Bi2 Bi 0.1452 0.8617 0.4422
Bi3 Bi 0.1497 0.5139 0.2484
Bi4 Bi 0.2007 0.4748 0.5693
Bi5 Bi 0.4748 0.2007 0.0693
Bi6 Bi 0.4861 0.8503 0.2516
Bi7 Bi 0.5139 0.1497 0.7484
Bi8 Bi 0.5252 0.7993 0.9307
Bi9 Bi 0.7993 0.5252 0.4307
Bi10 Bi 0.8503 0.4861 0.7516
Bi11 Bi 0.8548 0.1383 0.5578
Bi12 Bi 0.8617 0.1452 0.9422
O1 O 0.0345 0.9508 0.8931
O2 O 0.0395 0.6337 0.0907
O3 O 0.0409 0.6359 0.4115
O4 O 0.0492 0.9655 0.6069
O5 O 0.0684 0.5794 0.7491
O6 O 0.2540 0.7460 0.2500
O7 O 0.2797 0.3925 0.3848
O8 O 0.2866 0.3874 0.1195
O9 O 0.2915 0.7060 0.5728
O10 O 0.2940 0.7085 0.9272
O11 O 0.3641 0.9591 0.0885
O12 O 0.3663 0.9605 0.4093
O13 O 0.3874 0.2866 0.6195
O14 O 0.3925 0.2797 0.8848
O15 O 0.4206 0.9316 0.7509
O16 O 0.5794 0.0684 0.2491
O17 O 0.6075 0.7203 0.1152
O18 O 0.6126 0.7134 0.3805
O19 O 0.6337 0.0395 0.5907
O20 O 0.6359 0.0409 0.9115
O21 O 0.7060 0.2915 0.0728
O22 O 0.7085 0.2940 0.4272
O23 O 0.7134 0.6126 0.8805
O24 O 0.7203 0.6075 0.6152
O25 O 0.7460 0.2540 0.7500
O26 O 0.9316 0.4206 0.2509
O27 O 0.9508 0.0345 0.3931
O28 O 0.9591 0.3641 0.5885
O29 O 0.9605 0.3663 0.9093
O30 O 0.9655 0.0492 0.1069

***

b | # CaBi2O5 GGA-PBEsol optimized geometry
# total magnetic moment: 0.000 μB/atom
data_CaBi2O5
_cell_length_a 5.8709
_cell_length_b 11.7260
_cell_length_c 8.9966
_cell_angle_alpha 90.00
_cell_angle_beta 108.65
_cell_angle_gamma 90.00
_space_group_name_H-M_alt 'P 1'
_space_group_IT_number 1
_space_group_name_Hall 'P 1'
loop_
_atom_site_label
_atom_site_type_symbol
_atom_site_fract_x
_atom_site_fract_y
_atom_site_fract_z
Ca1 Ca 0.0340 0.0949 0.1624
Ca2 Ca 0.0340 0.4051 0.6624
Ca3 Ca 0.9660 0.5949 0.3376
Ca4 Ca 0.9660 0.9051 0.8376
Bi1 Bi 0.3837 0.6194 0.0576
Bi2 Bi 0.3837 0.8806 0.5576
Bi3 Bi 0.4590 0.0989 0.8554
Bi4 Bi 0.4590 0.4011 0.3554
Bi5 Bi 0.5410 0.5989 0.6446
Bi6 Bi 0.5410 0.9011 0.1446
Bi7 Bi 0.6163 0.1194 0.4424
Bi8 Bi 0.6163 0.3806 0.9424
O1 O 0.2054 0.5426 0.1898
O2 O 0.2054 0.9574 0.6898
O3 O 0.2308 0.7221 0.4907
O4 O 0.2308 0.7779 0.9907
O5 O 0.2668 0.0293 0.0112
O6 O 0.2668 0.4707 0.5112
O7 O 0.3089 0.2082 0.3338
O8 O 0.3089 0.2918 0.8338
O9 O 0.3544 0.5327 0.8491
O10 O 0.3544 0.9673 0.3491
O11 O 0.6456 0.0327 0.6509
O12 O 0.6456 0.4673 0.1509
O13 O 0.6911 0.7082 0.1662
O14 O 0.6911 0.7918 0.6662
O15 O 0.7332 0.5293 0.4888
O16 O 0.7332 0.9707 0.9888
O17 O 0.7692 0.2221 0.0093
O18 O 0.7692 0.2779 0.5093
O19 O 0.7946 0.0426 0.3102
O20 O 0.7946 0.4574 0.8102

***

It comes down to a, which is 47 meV/atom more stable than the next structure.

***

a | # CaTa2Bi2O9 GGA-PBEsol optimized geometry
# total magnetic moment: 0.000 μB/atom
data_CaTa2Bi2O9
_cell_length_a 12.7668
_cell_length_b 12.7668
_cell_length_c 5.4717
_cell_angle_alpha 90.00
_cell_angle_beta 90.00
_cell_angle_gamma 24.53
_space_group_name_H-M_alt 'P 1'
_space_group_IT_number 1
_space_group_name_Hall 'P 1'
loop_
_atom_site_label
_atom_site_type_symbol
_atom_site_fract_x
_atom_site_fract_y
_atom_site_fract_z
Ca1 Ca 0.2440 0.7560 0.5000
Ca2 Ca 0.7560 0.2440 0.0000
Ta1 Ta 0.1708 0.6656 0.0366
Ta2 Ta 0.3344 0.8292 0.0366
Ta3 Ta 0.6656 0.1708 0.5366
Ta4 Ta 0.8292 0.3344 0.5366
Bi1 Bi 0.0257 0.5766 0.4588
Bi2 Bi 0.4234 0.9743 0.4588
Bi3 Bi 0.5766 0.0257 0.9588
Bi4 Bi 0.9743 0.4234 0.9588
O1 O 0.0168 0.6726 0.0462
O2 O 0.0234 0.0995 0.2648
O3 O 0.0995 0.0234 0.7648
O4 O 0.2422 0.2599 0.2293
O5 O 0.2599 0.2422 0.7293
O6 O 0.3274 0.9832 0.0462
O7 O 0.3299 0.6701 0.0712
O8 O 0.3575 0.4692 0.3527
O9 O 0.4692 0.3575 0.8527
O10 O 0.5308 0.6425 0.3527
O11 O 0.6425 0.5308 0.8527
O12 O 0.6701 0.3299 0.5712
O13 O 0.6726 0.0168 0.5462
O14 O 0.7401 0.7578 0.2293
O15 O 0.7578 0.7401 0.7293
O16 O 0.9005 0.9766 0.2648
O17 O 0.9766 0.9005 0.7648
O18 O 0.9832 0.3274 0.5462

***

b | # CaTa2Bi2O9 GGA-PBEsol optimized geometry
# total magnetic moment: 0.000 μB/atom
data_CaTa2Bi2O9
_cell_length_a 12.7253
_cell_length_b 12.7253
_cell_length_c 3.9132
_cell_angle_alpha 94.68
_cell_angle_beta 94.68
_cell_angle_gamma 17.53
_space_group_name_H-M_alt 'P 1'
_space_group_IT_number 1
_space_group_name_Hall 'P 1'
loop_
_atom_site_label
_atom_site_type_symbol
_atom_site_fract_x
_atom_site_fract_y
_atom_site_fract_z
Ca1 Ca 0.0000 0.0000 0.0000
Ta1 Ta 0.4179 0.4179 0.4480
Ta2 Ta 0.5821 0.5821 0.5520
Bi1 Bi 0.1997 0.1997 0.2597
Bi2 Bi 0.8003 0.8003 0.7403
O1 O 0.0730 0.0730 0.5284
O2 O 0.2483 0.2483 0.7523
O3 O 0.3421 0.3421 0.4320
O4 O 0.4280 0.4280 0.9620
O5 O 0.5000 0.5000 0.5000
O6 O 0.5720 0.5720 0.0380
O7 O 0.6579 0.6579 0.5680
O8 O 0.7517 0.7517 0.2477
O9 O 0.9270 0.9270 0.4716

***

It comes down to a, which is 47 meV/atom more stable than the next structure.

***

a | # CaVBiO5 GGA-PBEsol optimized geometry
# total magnetic moment: 0.000 μB/atom
data_CaVBiO5
_cell_length_a 5.7229
_cell_length_b 11.6754
_cell_length_c 8.1507
_cell_angle_alpha 90.00
_cell_angle_beta 109.77
_cell_angle_gamma 90.00
_space_group_name_H-M_alt 'P 1'
_space_group_IT_number 1
_space_group_name_Hall 'P 1'
loop_
_atom_site_label
_atom_site_type_symbol
_atom_site_fract_x
_atom_site_fract_y
_atom_site_fract_z
Ca1 Ca 0.0461 0.0877 0.1880
Ca2 Ca 0.0461 0.4123 0.6880
Ca3 Ca 0.9539 0.5877 0.3120
Ca4 Ca 0.9539 0.9123 0.8120
V1 V 0.3319 0.6446 0.0267
V2 V 0.3319 0.8554 0.5267
V3 V 0.6681 0.1446 0.4733
V4 V 0.6681 0.3554 0.9733
Bi1 Bi 0.4635 0.0953 0.8330
Bi2 Bi 0.4635 0.4047 0.3330
Bi3 Bi 0.5365 0.5953 0.6670
Bi4 Bi 0.5365 0.9047 0.1670
O1 O 0.1886 0.7245 0.5031
O2 O 0.1886 0.7755 0.0031
O3 O 0.2506 0.5581 0.1736
O4 O 0.2506 0.9419 0.6736
O5 O 0.2660 0.5758 0.8292
O6 O 0.2660 0.9242 0.3292
O7 O 0.2711 0.0257 0.0131
O8 O 0.2711 0.4743 0.5131
O9 O 0.3643 0.1800 0.3949
O10 O 0.3643 0.3200 0.8949
O11 O 0.6357 0.6800 0.1051
O12 O 0.6357 0.8200 0.6051
O13 O 0.7289 0.5257 0.4869
O14 O 0.7289 0.9743 0.9869
O15 O 0.7340 0.0758 0.6708
O16 O 0.7340 0.4242 0.1708
O17 O 0.7494 0.0581 0.3264
O18 O 0.7494 0.4419 0.8264
O19 O 0.8114 0.2245 0.9969
O20 O 0.8114 0.2755 0.4969

***

b | # CaVBiO5 GGA-PBEsol optimized geometry
# total magnetic moment: 0.000 μB/atom
data_CaVBiO5
_cell_length_a 5.4373
_cell_length_b 15.5321
_cell_length_c 11.1641
_cell_angle_alpha 90.00
_cell_angle_beta 90.00
_cell_angle_gamma 90.00
_space_group_name_H-M_alt 'P 1'
_space_group_IT_number 1
_space_group_name_Hall 'P 1'
loop_
_atom_site_label
_atom_site_type_symbol
_atom_site_fract_x
_atom_site_fract_y
_atom_site_fract_z
Ca1 Ca 0.0063 0.0532 0.1413
Ca2 Ca 0.0063 0.4468 0.6413
Ca3 Ca 0.4937 0.5532 0.1413
Ca4 Ca 0.4937 0.9468 0.6413
Ca5 Ca 0.5063 0.0532 0.3587
Ca6 Ca 0.5063 0.4468 0.8587
Ca7 Ca 0.9937 0.5532 0.3587
Ca8 Ca 0.9937 0.9468 0.8587
V1 V 0.0107 0.0979 0.5962
V2 V 0.0107 0.4021 0.0962
V3 V 0.4893 0.5979 0.5962
V4 V 0.4893 0.9021 0.0962
V5 V 0.5107 0.0979 0.9038
V6 V 0.5107 0.4021 0.4038
V7 V 0.9893 0.5979 0.9038
V8 V 0.9893 0.9021 0.4038
Bi1 Bi 0.0463 0.7334 0.1520
Bi2 Bi 0.0463 0.7666 0.6520
Bi3 Bi 0.4537 0.2334 0.1520
Bi4 Bi 0.4537 0.2666 0.6520
Bi5 Bi 0.5463 0.7334 0.3480
Bi6 Bi 0.5463 0.7666 0.8480
Bi7 Bi 0.9537 0.2334 0.3480
Bi8 Bi 0.9537 0.2666 0.8480
O1 O 0.0592 0.1947 0.6737
O2 O 0.0592 0.3053 0.1737
O3 O 0.1272 0.5241 0.8158
O4 O 0.1272 0.9759 0.3158
O5 O 0.1765 0.6246 0.0243
O6 O 0.1765 0.8754 0.5243
O7 O 0.2083 0.5658 0.5461
O8 O 0.2083 0.9342 0.0461
O9 O 0.2433 0.1540 0.2691
O10 O 0.2433 0.3460 0.7691
O11 O 0.2567 0.6540 0.2691
O12 O 0.2567 0.8460 0.7691
O13 O 0.2917 0.0658 0.5461
O14 O 0.2917 0.4342 0.0461
O15 O 0.3235 0.1246 0.0243
O16 O 0.3235 0.3754 0.5243
O17 O 0.3728 0.0241 0.8158
O18 O 0.3728 0.4759 0.3158
O19 O 0.4408 0.6947 0.6737
O20 O 0.4408 0.8053 0.1737
O21 O 0.5592 0.1947 0.8263
O22 O 0.5592 0.3053 0.3263
O23 O 0.6272 0.5241 0.6842
O24 O 0.6272 0.9759 0.1842
O25 O 0.6765 0.6246 0.4757
O26 O 0.6765 0.8754 0.9757
O27 O 0.7083 0.5658 0.9539
O28 O 0.7083 0.9342 0.4539
O29 O 0.7433 0.1540 0.2309
O30 O 0.7433 0.3460 0.7309
O31 O 0.7567 0.6540 0.2309
O32 O 0.7567 0.8460 0.7309
O33 O 0.7917 0.0658 0.9539
O34 O 0.7917 0.4342 0.4539
O35 O 0.8235 0.1246 0.4757
O36 O 0.8235 0.3754 0.9757
O37 O 0.8728 0.0241 0.6842
O38 O 0.8728 0.4759 0.1842
O39 O 0.9408 0.6947 0.8263
O40 O 0.9408 0.8053 0.3263

***

It comes down to b, which is 17 meV/atom more stable than the next structure.

***

a | # CdIn2Bi GGA-PBEsol optimized geometry
# total magnetic moment: 0.000 μB/atom
data_CdIn2Bi
_cell_length_a 5.3282
_cell_length_b 5.3282
_cell_length_c 5.3282
_cell_angle_alpha 60.00
_cell_angle_beta 60.00
_cell_angle_gamma 60.00
_space_group_name_H-M_alt 'P 1'
_space_group_IT_number 1
_space_group_name_Hall 'P 1'
loop_
_atom_site_label
_atom_site_type_symbol
_atom_site_fract_x
_atom_site_fract_y
_atom_site_fract_z
Cd1 Cd 0.0000 0.0000 0.0000
In1 In 0.2500 0.2500 0.2500
In2 In 0.7500 0.7500 0.7500
Bi1 Bi 0.5000 0.5000 0.5000

***

b | # CdIn2Bi GGA-PBEsol optimized geometry
# total magnetic moment: 0.000 μB/atom
data_CdIn2Bi
_cell_length_a 6.6721
_cell_length_b 6.6721
_cell_length_c 6.6721
_cell_angle_alpha 102.45
_cell_angle_beta 102.45
_cell_angle_gamma 124.68
_space_group_name_H-M_alt 'P 1'
_space_group_IT_number 1
_space_group_name_Hall 'P 1'
loop_
_atom_site_label
_atom_site_type_symbol
_atom_site_fract_x
_atom_site_fract_y
_atom_site_fract_z
Cd1 Cd 0.0000 0.0000 0.0000
Cd2 Cd 0.7500 0.2500 0.5000
In1 In 0.1184 0.1250 0.4934
In2 In 0.3750 0.8816 0.0066
In3 In 0.6316 0.6250 0.5066
In4 In 0.8750 0.3684 0.9934
Bi1 Bi 0.2500 0.7500 0.5000
Bi2 Bi 0.5000 0.5000 0.0000

***

It comes down to a, which is 23 meV/atom more stable than the next structure.

***

a | # Cd3BiO GGA-PBEsol optimized geometry
# total magnetic moment: 0.230 μB/atom
data_Cd3BiO
_cell_length_a 5.7704
_cell_length_b 5.7704
_cell_length_c 5.7704
_cell_angle_alpha 90.00
_cell_angle_beta 90.00
_cell_angle_gamma 90.00
_space_group_name_H-M_alt 'P 1'
_space_group_IT_number 1
_space_group_name_Hall 'P 1'
loop_
_atom_site_label
_atom_site_type_symbol
_atom_site_fract_x
_atom_site_fract_y
_atom_site_fract_z
Cd1 Cd 0.0000 0.0000 0.5000
Cd2 Cd 0.0000 0.5000 0.0000
Cd3 Cd 0.5000 0.0000 0.0000
Bi1 Bi 0.0000 0.0000 0.0000
O1 O 0.5000 0.5000 0.5000

***

b | # Cd3BiO GGA-PBEsol optimized geometry
# total magnetic moment: 0.000 μB/atom
data_Cd3BiO
_cell_length_a 4.6866
_cell_length_b 4.6866
_cell_length_c 4.6866
_cell_angle_alpha 90.00
_cell_angle_beta 90.00
_cell_angle_gamma 90.00
_space_group_name_H-M_alt 'P 1'
_space_group_IT_number 1
_space_group_name_Hall 'P 1'
loop_
_atom_site_label
_atom_site_type_symbol
_atom_site_fract_x
_atom_site_fract_y
_atom_site_fract_z
Cd1 Cd 0.0000 0.0000 0.5000
Cd2 Cd 0.0000 0.5000 0.0000
Cd3 Cd 0.5000 0.0000 0.0000
Bi1 Bi 0.5000 0.5000 0.5000
O1 O 0.0000 0.0000 0.0000

***

It comes down to b, which is 1067 meV/atom more stable than the next structure.

***

a | # HgBiCl3 GGA-PBEsol optimized geometry
# total magnetic moment: 0.000 μB/atom
data_HgBiCl3
_cell_length_a 5.3646
_cell_length_b 5.3646
_cell_length_c 5.3646
_cell_angle_alpha 90.00
_cell_angle_beta 90.00
_cell_angle_gamma 90.00
_space_group_name_H-M_alt 'P 1'
_space_group_IT_number 1
_space_group_name_Hall 'P 1'
loop_
_atom_site_label
_atom_site_type_symbol
_atom_site_fract_x
_atom_site_fract_y
_atom_site_fract_z
Hg1 Hg 0.0000 0.0000 0.0000
Bi1 Bi 0.5000 0.5000 0.5000
Cl1 Cl 0.0000 0.5000 0.5000
Cl2 Cl 0.5000 0.0000 0.5000
Cl3 Cl 0.5000 0.5000 0.0000

***

b | # HgBiCl3 GGA-PBEsol optimized geometry
# total magnetic moment: 0.000 μB/atom
data_HgBiCl3
_cell_length_a 6.6465
_cell_length_b 7.2102
_cell_length_c 7.4285
_cell_angle_alpha 71.38
_cell_angle_beta 65.54
_cell_angle_gamma 67.89
_space_group_name_H-M_alt 'P 1'
_space_group_IT_number 1
_space_group_name_Hall 'P 1'
loop_
_atom_site_label
_atom_site_type_symbol
_atom_site_fract_x
_atom_site_fract_y
_atom_site_fract_z
Hg1 Hg 0.1836 0.0823 0.0037
Hg2 Hg 0.8164 0.9177 0.9963
Bi1 Bi 0.3120 0.3051 0.5591
Bi2 Bi 0.6880 0.6949 0.4409
Cl1 Cl 0.1599 0.6083 0.2762
Cl2 Cl 0.2930 0.5988 0.7284
Cl3 Cl 0.3004 0.0455 0.3763
Cl4 Cl 0.6996 0.9545 0.6237
Cl5 Cl 0.7070 0.4012 0.2716
Cl6 Cl 0.8401 0.3917 0.7238

***

It comes down to b, which is 89 meV/atom more stable than the next structure.